DFT (GGA-PBE) results for a relaxed TbPr3Nd3Se8 crystal.

Lattice parameters (Å, degrees): 8.463 8.463 8.463 59.90 59.90 59.90
Fractional positions:
Tb  0.000  0.000  0.000
Pr  0.000  0.000  0.500
Pr  0.000  0.500  0.000
Pr  0.500  0.000  0.000
Nd  0.000  0.500  0.500
Nd  0.500  0.000  0.500
Nd  0.500  0.500  0.000
Se  0.246  0.246  0.752
Se  0.246  0.752  0.246
Se  0.248  0.754  0.754
Se  0.251  0.251  0.251
Se  0.749  0.749  0.749
Se  0.752  0.246  0.246
Se  0.754  0.248  0.754
Se  0.754  0.754  0.248

Summary:
Energy relative to the elements, uncorrected, meV per atom: -1877
Calculated total energy, eV/cell: -89.3
Total magnetic moment, μB per atom: 0.000